Below is a relaxed structure of CrCd2Co, with properties calculated at the PBE level.

Calculated values
Its energy above the most stable polymorph in this dataset is 177 meV per atom. As for the total energy: -4.20 eV per atom. The symmetry is Fm-3m (225).

Cell lengths 4.5449, 4.5449, 4.5449 Å; angles 60.00, 60.00, 60.00 degrees
With the nearest neighbours (Å) after each atom.
Sites, in units of the cell vectors:
Cr 0.0000 0.0000 0.0000  8 Cd 2.78
Cd 0.2500 0.2500 0.2500  4 Cr 2.78, 4 Co 2.78
Cd 0.7500 0.7500 0.7500  4 Co 2.78, 4 Cr 2.78
Co 0.5000 0.5000 0.5000  8 Cd 2.78